NaCeCd4 (PBE-GGA, relaxed); crystal system = cubic; M_tot = 1.542 μB/f.u.; offset from the most stable computed form = 79 meV per atom; DFT formation energy = -0.10 eV per atom; space-group type = F-43m
1.0
0.000 4.231 4.231
4.231 0.000 4.231
4.231 4.231 0.000
Na Ce Cd
1 1 4
direct
0.000 0.000 0.000
0.250 0.250 0.250
0.125 0.625 0.625
0.625 0.125 0.625
0.625 0.625 0.125
0.625 0.625 0.625

Na2CeCd6 (PBE-GGA, relaxed); crystal system = hexagonal; M_tot = 1.015 μB/f.u.; DFT formation energy = -0.15 eV per atom; space-group type = P6/mmm
1.0
8.928 0.000 0.000
-4.464 7.732 0.000
0.000 0.000 3.190
Na Ce Cd
2 1 6
direct
0.333 0.667 0.000
0.667 0.333 0.000
0.000 0.000 0.000
0.000 0.336 0.500
0.000 0.664 0.500
0.336 0.000 0.500
0.336 0.336 0.500
0.664 0.000 0.500
0.664 0.664 0.500

NaCeCd (PBE-GGA, relaxed); crystal system = trigonal; M_tot = 0.118 μB/f.u.; offset from the most stable computed form = 4 meV per atom; DFT formation energy = 0.07 eV per atom; space-group type = P3m1
1.0
3.156 0.000 0.000
-1.578 2.734 0.000
0.000 0.000 9.096
Na Ce Cd
1 1 1
direct
0.000 0.000 0.000
0.667 0.333 0.369
0.333 0.667 0.683

NaCeCd (PBE-GGA, relaxed); crystal system = orthorhombic; M_tot = 0.883 μB/f.u.; offset from the most stable computed form = 55 meV per atom; DFT formation energy = 0.12 eV per atom; space-group type = Fmmm
1.0
0.000 4.280 7.004
2.877 0.000 7.004
2.877 4.280 0.000
Na Ce Cd
2 2 2
direct
0.250 0.250 0.250
0.750 0.750 0.750
0.159 0.841 0.159
0.841 0.159 0.841
0.393 0.393 0.607
0.607 0.607 0.393

NaCe2Cd6 (PBE-GGA, relaxed); crystal system = hexagonal; M_tot = 2.635 μB/f.u.; DFT formation energy = -0.20 eV per atom; space-group type = P6/mmm
1.0
8.936 0.000 0.000
-4.468 7.739 0.000
0.000 0.000 3.203
Na Ce Cd
1 2 6
direct
0.000 0.000 0.000
0.333 0.667 0.000
0.667 0.333 0.000
0.000 0.330 0.500
0.000 0.670 0.500
0.330 0.000 0.500
0.330 0.330 0.500
0.670 0.000 0.500
0.670 0.670 0.500

NaCe2Cd8 (PBE-GGA, relaxed); crystal system = triclinic; M_tot = 2.066 μB/f.u.; DFT formation energy = -0.09 eV per atom; space-group type = P-1
1.0
5.124 0.000 0.000
0.000 7.117 0.000
-2.534 -3.548 7.635
Na Ce Cd
1 2 8
direct
0.000 0.000 0.000
0.297 0.297 0.594
0.703 0.703 0.406
0.133 0.421 0.264
0.133 0.844 0.264
0.343 0.845 0.689
0.500 0.292 0.000
0.500 0.708 0.000
0.657 0.155 0.311
0.867 0.156 0.736
0.867 0.579 0.736

NaCeCd (PBE-GGA, relaxed); crystal system = tetragonal; M_tot = 0.761 μB/f.u.; offset from the most stable computed form = 0 meV per atom; DFT formation energy = 0.07 eV per atom; space-group type = I4mm
1.0
3.195 0.000 0.000
0.000 3.195 0.000
0.000 0.000 16.007
Na Ce Cd
2 2 2
direct
0.000 0.000 0.000
0.500 0.500 0.500
0.000 0.000 0.303
0.500 0.500 0.803
0.000 0.000 0.652
0.500 0.500 0.152

Na2Ce2Cd15 (PBE-GGA, relaxed); crystal system = trigonal; M_tot = 2.280 μB/f.u.; DFT formation energy = -0.11 eV per atom; space-group type = R-3m
1.0
5.115 2.953 4.974
-5.115 2.953 4.974
0.000 -5.906 4.974
Na Ce Cd
2 2 15
direct
0.100 0.100 0.100
0.900 0.900 0.900
0.343 0.343 0.343
0.657 0.657 0.657
0.000 0.000 0.500
0.000 0.306 0.694
0.000 0.500 0.000
0.000 0.694 0.306
0.163 0.645 0.645
0.306 0.000 0.694
0.306 0.694 0.000
0.355 0.355 0.837
0.355 0.837 0.355
0.500 0.000 0.000
0.645 0.163 0.645
0.645 0.645 0.163
0.694 0.000 0.306
0.694 0.306 0.000
0.837 0.355 0.355

NaCeCd4 (PBE-GGA, relaxed); crystal system = monoclinic; M_tot = 1.163 μB/f.u.; offset from the most stable computed form = 0 meV per atom; DFT formation energy = -0.18 eV per atom; space-group type = P2/m
1.0
3.196 0.000 0.000
0.000 5.126 0.000
-0.011 0.000 8.961
Na Ce Cd
1 1 4
direct
0.000 0.000 0.000
0.000 0.500 0.500
0.499 0.500 0.162
0.500 0.000 0.330
0.500 0.000 0.670
0.501 0.500 0.838

NaCe2Cd (PBE-GGA, relaxed); crystal system = trigonal; M_tot = 0.000 μB/f.u.; DFT formation energy = 0.12 eV per atom; space-group type = R-3m
1.0
3.094 0.000 0.000
-1.547 2.680 0.000
0.000 0.000 38.070
Na Ce Cd
3 6 3
direct
0.000 0.000 0.000
0.333 0.667 0.667
0.667 0.333 0.333
0.000 0.000 0.090
0.000 0.000 0.910
0.333 0.667 0.576
0.333 0.667 0.757
0.667 0.333 0.243
0.667 0.333 0.424
0.000 0.000 0.500
0.333 0.667 0.167
0.667 0.333 0.833

NaCeCdPb (PBE-GGA, relaxed); crystal system = cubic; M_tot = 1.074 μB/f.u.; DFT formation energy = -0.23 eV per atom; space-group type = F-43m
1.0
7.654 0.000 0.000
0.000 7.654 0.000
0.000 0.000 7.654
Na Ce Cd Pb
4 4 4 4
direct
0.000 0.000 0.000
0.000 0.500 0.500
0.500 0.000 0.500
0.500 0.500 0.000
0.000 0.000 0.500
0.000 0.500 0.000
0.500 0.000 0.000
0.500 0.500 0.500
0.250 0.250 0.750
0.250 0.750 0.250
0.750 0.250 0.250
0.750 0.750 0.750
0.250 0.250 0.250
0.250 0.750 0.750
0.750 0.250 0.750
0.750 0.750 0.250

Na4Ce3CdS8 (PBE-GGA, relaxed); crystal system = trigonal; formation energy from raw total energies = -1528.6 meV per atom; M_tot = 2.012 μB/f.u.; space-group type = R-3m
1.0
4.066 2.348 6.676
-4.066 2.348 6.676
0.000 -4.695 6.676
Na Ce Cd S
4 3 1 8
direct
0.000 0.000 0.000
0.000 0.500 0.500
0.500 0.000 0.500
0.500 0.500 0.000
0.000 0.000 0.500
0.000 0.500 0.000
0.500 0.000 0.000
0.500 0.500 0.500
0.243 0.744 0.744
0.244 0.244 0.244
0.256 0.256 0.757
0.256 0.757 0.256
0.744 0.243 0.744
0.744 0.744 0.243
0.756 0.756 0.756
0.757 0.256 0.256